Here is crystalline ZrCu3Os at its relaxed geometry from the Alexandria database. Energies are from PBE.

Computed properties:
**Calculated formation energy**: 1.029 eV per atom
**Space group**: Pm-3m (221)
**N(E_F)**: 5.92 states/eV/f.u.
**Relative energy among the computed polymorphs**: 0 meV/atom
**Total moment**: 0.00 μB/f.u.

a b c (Å): 4.5552 4.5552 4.5552
angles (deg): 90.00 90.00 90.00
Fractional positions:
Zr (0.0000, 0.0000, 0.0000)
Cu (0.0000, 0.5000, 0.5000)
Cu (0.5000, 0.0000, 0.5000)
Cu (0.5000, 0.5000, 0.0000)
Os (0.5000, 0.5000, 0.5000)